The following is a PBE calculation of crystalline BaLa2ZnFe at its relaxed geometry, from Alexandria.

abc: 5.2643 5.2643 5.2558
angles: 90.00 90.00 90.00
Element x y z (fractional)
Ba (0.0000, 0.0000, 0.0000)
La (0.0000, 0.5000, 0.5000)
La (0.5000, 0.0000, 0.5000)
Zn (0.5000, 0.5000, 0.0000)
Fe (0.5000, 0.5000, 0.5000)

Summary:
The space group is P4/mmm. The total moment comes out at 0.000 Bohr magnetons per cell. Its energy relative to the elements is 0.4 eV per formula unit. The raw total energy comes out at -21.139 eV for the cell shown.